(1)
## ZrCd2H12O6F8 (SCAN)

Data for a crystal of ZrCd2H12O6F8 relaxed with PBEsol.

Geometry as CIF:
```
data_ZrCd2H12O6F8
_chemical_formula_sum 'Zr2 Cd4 H24 O12 F16'
_cell_length_a 7.048
_cell_length_b 7.048
_cell_length_c 12.292
_cell_angle_alpha 96.29
_cell_angle_beta 106.27
_cell_angle_gamma 108.69
_space_group_name_H-M_alt 'P 1'
_space_group_IT_number 1
_space_group_name_Hall 'P 1'
loop_
_atom_site_label
_atom_site_type_symbol
_atom_site_fract_x
_atom_site_fract_y
_atom_site_fract_z
Zr1 Zr 0.016 0.766 0.250
Zr2 Zr 0.984 0.234 0.750
Cd1 Cd 0.160 0.296 0.215
Cd2 Cd 0.581 0.945 0.285
Cd3 Cd 0.840 0.704 0.785
Cd4 Cd 0.419 0.055 0.715
H1 H 0.835 0.358 0.355
H2 H 0.503 0.479 0.145
H3 H 0.165 0.642 0.645
H4 H 0.497 0.521 0.855
H5 H 0.841 0.268 0.472
H6 H 0.296 0.369 0.028
H7 H 0.159 0.732 0.528
H8 H 0.704 0.631 0.972
H9 H 0.666 0.104 0.097
H10 H 0.507 0.569 0.403
H11 H 0.334 0.896 0.903
H12 H 0.493 0.431 0.597
H13 H 0.469 0.157 0.113
H14 H 0.545 0.357 0.387
H15 H 0.531 0.843 0.887
H16 H 0.455 0.643 0.613
H17 H 0.858 0.363 0.053
H18 H 0.810 0.805 0.447
H19 H 0.142 0.637 0.947
H20 H 0.190 0.195 0.553
H21 H 0.873 0.162 0.981
H22 H 0.681 0.892 0.519
H23 H 0.127 0.838 0.019
H24 H 0.319 0.108 0.481
O1 O 0.743 0.277 0.397
O2 O 0.380 0.346 0.103
O3 O 0.257 0.723 0.603
O4 O 0.620 0.654 0.897
O5 O 0.430 0.416 0.376
O6 O 0.539 0.054 0.124
O7 O 0.570 0.584 0.624
O8 O 0.461 0.946 0.876
O9 O 0.872 0.226 0.058
O10 O 0.668 0.814 0.442
O11 O 0.128 0.774 0.942
O12 O 0.332 0.186 0.558
F1 F 0.115 0.953 0.138
F2 F 0.314 0.977 0.362
F3 F 0.885 0.047 0.862
F4 F 0.686 0.023 0.638
F5 F 0.955 0.038 0.286
F6 F 0.252 0.669 0.214
F7 F 0.045 0.962 0.714
F8 F 0.748 0.331 0.786
F9 F 0.959 0.466 0.279
F10 F 0.687 0.680 0.221
F11 F 0.041 0.534 0.721
F12 F 0.313 0.320 0.779
F13 F 0.005 0.774 0.421
F14 F 0.853 0.584 0.079
F15 F 0.995 0.226 0.579
F16 F 0.147 0.416 0.921
```

E_tot = -8.715 eV per atom
Space group = C2/c (15)
DOS(E_F) = 0.00 states/eV per cell

(2)
## CdHPt2F (SCAN)

Data for a crystal of CdHPt2F relaxed with PBEsol.

Geometry as CIF:
```
data_CdHPt2F
_chemical_formula_sum 'Cd1 H1 Pt2 F1'
_cell_length_a 4.108
_cell_length_b 5.060
_cell_length_c 5.060
_cell_angle_alpha 90.00
_cell_angle_beta 90.00
_cell_angle_gamma 90.00
_space_group_name_H-M_alt 'P 1'
_space_group_IT_number 1
_space_group_name_Hall 'P 1'
loop_
_atom_site_label
_atom_site_type_symbol
_atom_site_fract_x
_atom_site_fract_y
_atom_site_fract_z
H1 H 0.500 0.500 0.500
F1 F 0.500 0.000 0.000
Pt1 Pt 0.000 0.000 0.500
Pt2 Pt 0.000 0.500 0.000
Cd1 Cd 0.000 0.000 0.000
```

E_tot = -34.244 eV per atom
Space group = P4/mmm (123)
DOS(E_F) = 4.70 states/eV per cell

(3)
## Hf2CdF (SCAN)

Data for a crystal of Hf2CdF relaxed with PBEsol.

Geometry as CIF:
```
data_Hf2CdF
_chemical_formula_sum 'Hf2 Cd1 F1'
_cell_length_a 4.663
_cell_length_b 4.663
_cell_length_c 4.663
_cell_angle_alpha 60.00
_cell_angle_beta 60.00
_cell_angle_gamma 60.00
_space_group_name_H-M_alt 'P 1'
_space_group_IT_number 1
_space_group_name_Hall 'P 1'
loop_
_atom_site_label
_atom_site_type_symbol
_atom_site_fract_x
_atom_site_fract_y
_atom_site_fract_z
F1 F 0.000 0.000 0.000
Hf1 Hf 0.250 0.250 0.250
Hf2 Hf 0.750 0.750 0.750
Cd1 Cd 0.500 0.500 0.500
```

E_tot = -40.206 eV per atom
Space group = Fm-3m (225)
DOS(E_F) = 3.27 states/eV per cell

(4)
## Cd2HgF2 (SCAN)

Data for a crystal of Cd2HgF2 relaxed with PBEsol.

Geometry as CIF:
```
data_Cd2HgF2
_chemical_formula_sum 'Cd2 Hg1 F2'
_cell_length_a 3.990
_cell_length_b 3.990
_cell_length_c 6.076
_cell_angle_alpha 109.17
_cell_angle_beta 109.17
_cell_angle_gamma 90.00
_space_group_name_H-M_alt 'P 1'
_space_group_IT_number 1
_space_group_name_Hall 'P 1'
loop_
_atom_site_label
_atom_site_type_symbol
_atom_site_fract_x
_atom_site_fract_y
_atom_site_fract_z
F1 F 0.250 0.750 0.500
F2 F 0.750 0.250 0.500
Hg1 Hg 0.000 0.000 0.000
Cd1 Cd 0.371 0.371 0.741
Cd2 Cd 0.629 0.629 0.259
```

E_tot = -28.607 eV per atom
Space group = I4/mmm (139)
DOS(E_F) = 0.39 states/eV per cell

(5)
## CdHgNF2 (SCAN)

Data for a crystal of CdHgNF2 relaxed with PBEsol.

Geometry as CIF:
```
data_CdHgNF2
_chemical_formula_sum 'Cd1 Hg1 N1 F2'
_cell_length_a 4.265
_cell_length_b 4.265
_cell_length_c 4.428
_cell_angle_alpha 90.00
_cell_angle_beta 90.00
_cell_angle_gamma 90.00
_space_group_name_H-M_alt 'P 1'
_space_group_IT_number 1
_space_group_name_Hall 'P 1'
loop_
_atom_site_label
_atom_site_type_symbol
_atom_site_fract_x
_atom_site_fract_y
_atom_site_fract_z
N1 N 0.000 0.000 0.500
F1 F 0.000 0.500 0.000
F2 F 0.500 0.000 0.000
Hg1 Hg 0.500 0.500 0.500
Cd1 Cd 0.000 0.000 0.000
```

E_tot = -23.319 eV per atom
Space group = P4/mmm (123)
DOS(E_F) = 1.40 states/eV per cell

(6)
## Cd2HgPF (SCAN)

Data for a crystal of Cd2HgPF relaxed with PBEsol.

Geometry as CIF:
```
data_Cd2HgPF
_chemical_formula_sum 'Cd2 Hg1 P1 F1'
_cell_length_a 4.326
_cell_length_b 5.305
_cell_length_c 5.305
_cell_angle_alpha 90.00
_cell_angle_beta 90.00
_cell_angle_gamma 90.00
_space_group_name_H-M_alt 'P 1'
_space_group_IT_number 1
_space_group_name_Hall 'P 1'
loop_
_atom_site_label
_atom_site_type_symbol
_atom_site_fract_x
_atom_site_fract_y
_atom_site_fract_z
P1 P 0.500 0.500 0.500
F1 F 0.500 0.000 0.000
Hg1 Hg 0.000 0.000 0.000
Cd1 Cd 0.000 0.000 0.500
Cd2 Cd 0.000 0.500 0.000
```

E_tot = -28.291 eV per atom
Space group = P4/mmm (123)
DOS(E_F) = 3.28 states/eV per cell

(7)
## CdIN2F (SCAN)

Data for a crystal of CdIN2F relaxed with PBEsol.

Geometry as CIF:
```
data_CdIN2F
_chemical_formula_sum 'Cd1 I1 N2 F1'
_cell_length_a 4.298
_cell_length_b 4.649
_cell_length_c 4.649
_cell_angle_alpha 90.00
_cell_angle_beta 90.00
_cell_angle_gamma 90.00
_space_group_name_H-M_alt 'P 1'
_space_group_IT_number 1
_space_group_name_Hall 'P 1'
loop_
_atom_site_label
_atom_site_type_symbol
_atom_site_fract_x
_atom_site_fract_y
_atom_site_fract_z
I1 I 0.500 0.000 0.000
N1 N 0.000 0.000 0.500
N2 N 0.000 0.500 0.000
F1 F 0.000 0.000 0.000
Cd1 Cd 0.500 0.500 0.500
```

E_tot = -16.183 eV per atom
Space group = P4/mmm (123)
DOS(E_F) = 1.53 states/eV per cell

(8)
## CdIOF2 (SCAN)

Data for a crystal of CdIOF2 relaxed with PBEsol.

Geometry as CIF:
```
data_CdIOF2
_chemical_formula_sum 'Cd1 I1 O1 F2'
_cell_length_a 4.195
_cell_length_b 4.195
_cell_length_c 4.646
_cell_angle_alpha 90.00
_cell_angle_beta 90.00
_cell_angle_gamma 90.00
_space_group_name_H-M_alt 'P 1'
_space_group_IT_number 1
_space_group_name_Hall 'P 1'
loop_
_atom_site_label
_atom_site_type_symbol
_atom_site_fract_x
_atom_site_fract_y
_atom_site_fract_z
I1 I 0.500 0.500 0.500
F1 F 0.000 0.500 0.000
F2 F 0.500 0.000 0.000
O1 O 0.000 0.000 0.500
Cd1 Cd 0.000 0.000 0.000
```

E_tot = -16.862 eV per atom
Space group = P4/mmm (123)
DOS(E_F) = 1.99 states/eV per cell

(9)
## Cd2RuIF (SCAN)

Data for a crystal of Cd2RuIF relaxed with PBEsol.

Geometry as CIF:
```
data_Cd2RuIF
_chemical_formula_sum 'Cd2 Ru1 I1 F1'
_cell_length_a 4.795
_cell_length_b 5.202
_cell_length_c 5.202
_cell_angle_alpha 90.00
_cell_angle_beta 90.00
_cell_angle_gamma 90.00
_space_group_name_H-M_alt 'P 1'
_space_group_IT_number 1
_space_group_name_Hall 'P 1'
loop_
_atom_site_label
_atom_site_type_symbol
_atom_site_fract_x
_atom_site_fract_y
_atom_site_fract_z
I1 I 0.500 0.000 0.000
Ru1 Ru 0.000 0.000 0.000
F1 F 0.500 0.500 0.500
Cd1 Cd 0.000 0.000 0.500
Cd2 Cd 0.000 0.500 0.000
```

E_tot = -27.125 eV per atom
Space group = P4/mmm (123)
DOS(E_F) = 2.65 states/eV per cell

(10)
## CdSbI2F (SCAN)

Data for a crystal of CdSbI2F relaxed with PBEsol.

Geometry as CIF:
```
data_CdSbI2F
_chemical_formula_sum 'Cd1 Sb1 I2 F1'
_cell_length_a 4.182
_cell_length_b 5.837
_cell_length_c 5.837
_cell_angle_alpha 90.00
_cell_angle_beta 90.00
_cell_angle_gamma 90.00
_space_group_name_H-M_alt 'P 1'
_space_group_IT_number 1
_space_group_name_Hall 'P 1'
loop_
_atom_site_label
_atom_site_type_symbol
_atom_site_fract_x
_atom_site_fract_y
_atom_site_fract_z
I1 I 0.000 0.000 0.500
I2 I 0.000 0.500 0.000
Sb1 Sb 0.500 0.000 0.000
F1 F 0.000 0.000 0.000
Cd1 Cd 0.500 0.500 0.500
```

E_tot = -29.161 eV per atom
Space group = P4/mmm (123)
DOS(E_F) = 3.04 states/eV per cell

(11)
## CdInF2 (SCAN)

Data for a crystal of CdInF2 relaxed with PBEsol.

Geometry as CIF:
```
data_CdInF2
_chemical_formula_sum 'Cd1 In1 F2'
_cell_length_a 3.397
_cell_length_b 3.397
_cell_length_c 7.855
_cell_angle_alpha 77.51
_cell_angle_beta 77.51
_cell_angle_gamma 60.00
_space_group_name_H-M_alt 'P 1'
_space_group_IT_number 1
_space_group_name_Hall 'P 1'
loop_
_atom_site_label
_atom_site_type_symbol
_atom_site_fract_x
_atom_site_fract_y
_atom_site_fract_z
F1 F 0.886 0.886 0.342
F2 F 0.114 0.114 0.658
Cd1 Cd 0.500 0.500 0.500
In1 In 0.000 0.000 0.000
```

E_tot = -19.361 eV per atom
Space group = R-3m (166)
DOS(E_F) = 0.77 states/eV per cell

(12)
## Cd2InSF (SCAN)

Data for a crystal of Cd2InSF relaxed with PBEsol.

Geometry as CIF:
```
data_Cd2InSF
_chemical_formula_sum 'Cd2 In1 S1 F1'
_cell_length_a 5.258
_cell_length_b 5.258
_cell_length_c 3.962
_cell_angle_alpha 90.00
_cell_angle_beta 90.00
_cell_angle_gamma 90.00
_space_group_name_H-M_alt 'P 1'
_space_group_IT_number 1
_space_group_name_Hall 'P 1'
loop_
_atom_site_label
_atom_site_type_symbol
_atom_site_fract_x
_atom_site_fract_y
_atom_site_fract_z
S1 S 0.000 0.000 0.000
Cd1 Cd 0.000 0.500 0.000
Cd2 Cd 0.500 0.000 0.000
F1 F 0.000 0.000 0.500
In1 In 0.500 0.500 0.500
```

E_tot = -21.596 eV per atom
Space group = P4/mmm (123)
DOS(E_F) = 2.96 states/eV per cell